NdMg2ScPd4: relaxed, PBE-GGA.

It has space group R-3m (No. 166, hexagonal axes), with a = 4.5944 Å, b = 4.5944 Å, c = 25.1545 Å, α = 90.00°, β = 90.00° and γ = 120.00°. Symmetry generates all atoms from Nd at (0.0000, 0.0000, 0.0000), Mg at (0.0000, 0.0000, 0.2418), Sc at (0.0000, 0.0000, 0.5000), Pd at (0.0000, 0.0000, 0.1281) and Pd at (0.0000, 0.0000, 0.3933).

The total energy comes out at -123.66 eV per cell.

=====

Rb2Cd4Hg3Au: relaxed, PBE-GGA.

It has space group P-4m2 (No. 115), with a = 5.031 Å, b = 5.031 Å, c = 12.167 Å, α = 90.00°, β = 90.00° and γ = 90.00°. Symmetry generates all atoms from Rb at (0.000, 0.500, 0.237), Cd at (0.000, 0.000, 0.500), Cd at (0.000, 0.500, 0.880), Cd at (0.500, 0.500, 0.500), Hg at (0.000, 0.000, 0.000), Hg at (0.000, 0.500, 0.638) and Au at (0.500, 0.500, 0.000).

The total energy comes out at -11.27 eV per cell.

=====

FeHgOs: relaxed, PBE-GGA.

It has space group P3m1 (No. 156), with a = 2.8100 Å, b = 2.8100 Å, c = 6.8451 Å, α = 90.00°, β = 90.00° and γ = 120.00°. Symmetry generates all atoms from Fe at (0.0000, 0.0000, 0.0000), Hg at (0.6667, 0.3333, 0.3444) and Os at (0.3333, 0.6667, 0.7215).

For the distance to the lowest polymorph of the same formula, the calculation gives 44 meV per atom. The total energy comes out at -18.45 eV per cell.

=====

Mn2VAs2: relaxed, PBE-GGA.

It has space group P4/mbm (No. 127), with a = 6.639 Å, b = 6.639 Å, c = 3.366 Å, α = 90.00°, β = 90.00° and γ = 90.00°. Symmetry generates all atoms from Mn at (0.145, 0.355, 0.000), V at (0.000, 0.000, 0.500) and As at (0.154, 0.654, 0.500).

For the distance to the lowest polymorph of the same formula, the calculation gives 0 meV per atom. The total energy comes out at -74.45 eV per cell.

=====

Ce2YHo: relaxed, PBE-GGA.

It has space group Fm-3m (No. 225), with a = 7.977 Å, b = 7.977 Å, c = 7.977 Å, α = 90.00°, β = 90.00° and γ = 90.00°. Symmetry generates all atoms from Ce at (0.250, 0.250, 0.250), Y at (0.000, 0.000, 0.000) and Ho at (0.000, 0.000, 0.500).

For the distance to the lowest polymorph of the same formula, the calculation gives 135 meV per atom. The total energy comes out at -87.99 eV per cell.

=====

PuIrSe2: relaxed, PBE-GGA.

It has space group R-3m (No. 166, hexagonal axes), with a = 3.7495 Å, b = 3.7495 Å, c = 25.2119 Å, α = 90.00°, β = 90.00° and γ = 120.00°. Symmetry generates all atoms from Pu at (0.0000, 0.0000, 0.0000), Ir at (0.0000, 0.0000, 0.5000) and Se at (0.0000, 0.0000, 0.1161).

The calculation puts the energy relative to the elements, uncorrected at -0.188 eV/atom. The total energy comes out at -92.75 eV per cell.

=====

Er2Si3Ni: relaxed, PBE-GGA.

It has space group Pmm2 (No. 25), with a = 3.966 Å, b = 4.012 Å, c = 6.825 Å, α = 90.00°, β = 90.00° and γ = 90.00°. Symmetry generates all atoms from Er at (0.000, 0.000, 0.000), Er at (0.000, 0.500, 0.499), Si at (0.500, 0.000, 0.650), Si at (0.500, 0.500, 0.180), Si at (0.500, 0.500, 0.836) and Ni at (0.500, 0.000, 0.325).

The calculation puts the energy relative to the elements, uncorrected at -0.786 eV/atom. The total energy comes out at -35.89 eV per cell.

=====

BaTaCu2: relaxed, PBE-GGA.

It has space group R-3m (No. 166, hexagonal axes), with a = 3.4449 Å, b = 3.4449 Å, c = 25.6694 Å, α = 90.00°, β = 90.00° and γ = 120.00°. Symmetry generates all atoms from Ba at (0.0000, 0.0000, 0.0000), Ta at (0.0000, 0.0000, 0.5000) and Cu at (0.0000, 0.0000, 0.2309).

For the distance to the lowest polymorph of the same formula, the calculation gives 308 meV per atom. The total energy comes out at -58.18 eV per cell.

=====

CeScMnIn: relaxed, PBE-GGA.

It has space group F-43m (No. 216), with a = 7.195 Å, b = 7.195 Å, c = 7.195 Å, α = 90.00°, β = 90.00° and γ = 90.00°. Symmetry generates all atoms from Ce at (0.000, 0.000, 0.000), Sc at (0.000, 0.000, 0.500), Mn at (0.250, 0.250, 0.250) and In at (0.250, 0.250, 0.750).

The total energy comes out at -97.30 eV per cell.

=====

Nb2VCo6: relaxed, PBE-GGA.

It has space group C2/m (No. 12), with a = 8.663 Å, b = 4.997 Å, c = 5.243 Å, α = 90.00°, β = 90.12° and γ = 90.00°. Symmetry generates all atoms from Nb at (0.167, 0.000, 0.149), V at (0.000, 0.500, 0.000), Co at (0.088, 0.235, 0.676) and Co at (0.177, 0.500, 0.325).

The total energy comes out at -145.14 eV per cell.

=====

BaReCl2: relaxed, PBE-GGA.

It has space group Pm (No. 6), with a = 3.607 Å, b = 4.455 Å, c = 7.092 Å, α = 90.00°, β = 90.81° and γ = 90.00°. Symmetry generates all atoms from Ba at (0.000, 0.000, 0.000), Re at (0.491, 0.500, 0.690), Cl at (0.490, 0.000, 0.621) and Cl at (0.505, 0.500, 0.202).

The calculation puts the energy relative to the elements, uncorrected at -0.145 eV/atom. For the distance to the lowest polymorph of the same formula, the calculation gives 0 meV per atom. The total energy comes out at -18.64 eV per cell.

=====

CsSnSe2: relaxed, PBE-GGA.

It has space group C2/m (No. 12), with a = 7.413 Å, b = 4.294 Å, c = 8.766 Å, α = 90.00°, β = 106.48° and γ = 90.00°. Symmetry generates all atoms from Cs at (0.000, 0.000, 0.000), Sn at (0.000, 0.500, 0.500) and Se at (0.228, 0.000, 0.684).

The calculation puts the energy relative to the elements, uncorrected at -0.676 eV/atom. The total energy comes out at -29.06 eV per cell.